Entry from the Alexandria database: a relaxed La3Zr2UN6 crystal (PBE).

space-group type	No. 12
formation energy (no corrections)	-1.524	eV/atom
mass density	8416	kg/m³

```
La3Zr2UN6
1.0
5.951 0.000 0.003
-2.974 5.154 0.003
-0.990 -1.713 5.923
La Zr U N
3 2 1 6
direct
0.170 0.830 0.500
0.830 0.170 0.500
0.500 0.500 0.500
0.334 0.666 0.000
0.666 0.334 0.000
0.000 0.000 0.000
0.933 0.607 0.798
0.741 0.741 0.201
0.067 0.393 0.202
0.607 0.933 0.798
0.259 0.259 0.799
0.393 0.067 0.202
```